No. 1
Computed, not measured: a geometry-optimized SrZrHPd2 structure at the GGA-PBEsol level of DFT.

Values from the calculation:
The total magnetic moment is 0.0 μB/f.u. The raw total energy is -5.378 eV per atom.

Cell: 5.127 5.127 3.845 Å, 90.00 90.00 90.00°
Space group P4/mmm (No. 123)
Unique sites:
Sr 0.000 0.000 0.000 (multiplicity 1)
Zr 0.500 0.500 0.500 (multiplicity 1)
H 0.500 0.500 0.000 (multiplicity 1)
Pd 0.000 0.500 0.500 (multiplicity 2)


No. 2
Computed, not measured: a geometry-optimized ZrTaH2Pd structure at the GGA-PBEsol level of DFT.

Values from the calculation:
The total magnetic moment is 0.0 μB/f.u. The raw total energy is -6.625 eV per atom.

Cell: 3.711 3.711 5.092 Å, 90.00 90.00 90.00°
Space group P4/mmm (No. 123)
Unique sites:
Zr 0.000 0.000 0.000 (multiplicity 1)
Ta 0.500 0.500 0.500 (multiplicity 1)
H 0.000 0.500 0.500 (multiplicity 2)
Pd 0.500 0.500 0.000 (multiplicity 1)


No. 3
Computed, not measured: a geometry-optimized TcHPd3 structure at the GGA-PBEsol level of DFT.

Values from the calculation:
The total magnetic moment is 0.9 μB/f.u. The raw total energy is -4.701 eV per atom.

Cell: 4.692 4.692 4.692 Å, 90.00 90.00 90.00°
Space group Pm-3m (No. 221)
Unique sites:
Tc 0.000 0.000 0.000 (multiplicity 1)
H 0.500 0.500 0.500 (multiplicity 1)
Pd 0.000 0.000 0.500 (multiplicity 3)


No. 4
Computed, not measured: a geometry-optimized ZnTcH2Pd structure at the GGA-PBEsol level of DFT.

Values from the calculation:
The total magnetic moment is 2.1 μB/f.u. The raw total energy is -4.544 eV per atom.

Cell: 3.470 3.470 5.113 Å, 90.00 90.00 90.00°
Space group P4/mmm (No. 123)
Unique sites:
Zn 0.000 0.000 0.000 (multiplicity 1)
Tc 0.500 0.500 0.500 (multiplicity 1)
H 0.000 0.500 0.500 (multiplicity 2)
Pd 0.500 0.500 0.000 (multiplicity 1)


No. 5
Computed, not measured: a geometry-optimized TiH2Pd2 structure at the GGA-PBEsol level of DFT.

Values from the calculation:
The total magnetic moment is 0.1 μB/f.u. The raw total energy is -5.697 eV per atom.

Cell: 3.464 3.464 8.385 Å, 90.00 90.00 90.00°
Space group I4/mmm (No. 139)
Unique sites:
Ti 0.000 0.000 0.000 (multiplicity 2)
H 0.000 0.500 0.250 (multiplicity 4)
Pd 0.000 0.000 0.338 (multiplicity 4)


No. 6
Computed, not measured: a geometry-optimized Ti2H2Pd structure at the GGA-PBEsol level of DFT.

Values from the calculation:
The total magnetic moment is 0.0 μB/f.u. The raw total energy is -6.369 eV per atom.

Cell: 2.862 2.862 12.338 Å, 90.00 90.00 90.00°
Space group I4/mmm (No. 139)
Unique sites:
Ti 0.000 0.000 0.151 (multiplicity 4)
H 0.000 0.500 0.250 (multiplicity 4)
Pd 0.000 0.000 0.500 (multiplicity 2)


No. 7
Computed, not measured: a geometry-optimized TlHPd3 structure at the GGA-PBEsol level of DFT.

Values from the calculation:
The total magnetic moment is 0.0 μB/f.u. The raw total energy is -5.069 eV per atom.

Cell: 4.049 4.049 4.049 Å, 90.00 90.00 90.00°
Space group Pm-3m (No. 221)
Unique sites:
Tl 0.000 0.000 0.000 (multiplicity 1)
H 0.500 0.500 0.500 (multiplicity 1)
Pd 0.000 0.500 0.500 (multiplicity 3)


No. 8
Computed, not measured: a geometry-optimized HPd3W structure at the GGA-PBEsol level of DFT.

Values from the calculation:
The total magnetic moment is 0.8 μB/f.u. The raw total energy is -5.178 eV per atom.

Cell: 4.760 4.760 4.760 Å, 90.00 90.00 90.00°
Space group Pm-3m (No. 221)
Unique sites:
H 0.000 0.000 0.000 (multiplicity 1)
Pd 0.000 0.500 0.500 (multiplicity 3)
W 0.500 0.500 0.500 (multiplicity 1)


Q: Number 7 is which compound?
A: TlHPd3


Q: Which formula does entry 1 have?
A: SrZrHPd2


Please write out number 2 again, unchanged.
Computed, not measured: a geometry-optimized ZrTaH2Pd structure at the GGA-PBEsol level of DFT.

Values from the calculation:
The total magnetic moment is 0.0 μB/f.u. The raw total energy is -6.625 eV per atom.

Cell: 3.711 3.711 5.092 Å, 90.00 90.00 90.00°
Space group P4/mmm (No. 123)
Unique sites:
Zr 0.000 0.000 0.000 (multiplicity 1)
Ta 0.500 0.500 0.500 (multiplicity 1)
H 0.000 0.500 0.500 (multiplicity 2)
Pd 0.500 0.500 0.000 (multiplicity 1)


Q: Look up the total magnetic moment of the second one.
A: 0.0 μB/f.u.